# SrZn3Ir PBE relaxed
data_SrZn3Ir
_chemical_formula_sum 'Sr2 Zn6 Ir2'
_cell_length_a 4.304
_cell_length_b 5.666
_cell_length_c 8.709
_cell_angle_alpha 90.00
_cell_angle_beta 104.32
_cell_angle_gamma 90.00
_space_group_name_H-M_alt 'P 1'
_space_group_IT_number 1
loop_
_space_group_symop_operation_xyz
'x,y,z'
loop_
_atom_site_label
_atom_site_type_symbol
_atom_site_fract_x
_atom_site_fract_y
_atom_site_fract_z
_atom_site_occupancy
Zn1 Zn 0.208 0.006 0.916 1
Sr1 Sr 0.421 0.250 0.343 1
Sr2 Sr 0.579 0.750 0.657 1
Zn2 Zn 0.792 0.506 0.084 1
Zn3 Zn 0.074 0.250 0.648 1
Zn4 Zn 0.208 0.494 0.916 1
Ir1 Ir 0.664 0.250 0.828 1
Ir2 Ir 0.336 0.750 0.172 1
Zn5 Zn 0.926 0.750 0.352 1
Zn6 Zn 0.792 0.994 0.084 1
# Space-group type: P2_1/m (11)
# Calculated density: 7.7 g/cm3
# Uncorrected energy: -3.16 eV per atom
# Magnetic moment: 0.00 μB/cell
# Energy of formation from the pure elements: -291 meV/atom